No. 1
A plane-wave DFT calculation with PBE-GGA was carried out for crystalline DyTmTiCd at its relaxed geometry.

Values from the calculation:
- N(E_F) (states/eV per cell) = 7.80
- energy relative to the elements (eV/atom) = 0.043
- total moment (μB/f.u.) = 2.527

```
DyTmTiCd
1.0
5.198 0.000 0.000
2.599 4.502 0.000
2.599 1.501 4.244
Cd Tm Ti Dy
1 1 1 1
Direct
0.750 0.750 0.750
0.500 0.500 0.500
0.250 0.250 0.250
0.000 0.000 0.000
```



No. 2
A plane-wave DFT calculation with PBE-GGA was carried out for crystalline DyTiZnCd at its relaxed geometry.

Values from the calculation:
- N(E_F) (states/eV per cell) = 3.35
- energy relative to the elements (eV/atom) = -0.081
- total moment (μB/f.u.) = 1.596

```
DyTiZnCd
1.0
-0.406 1.293 -4.730
1.845 -2.910 -3.513
-3.027 -2.484 -2.979
Zn Cd Ti Dy
1 1 1 1
Direct
0.000 0.000 0.000
0.500 0.500 0.500
0.250 0.250 0.250
0.750 0.750 0.750
```



No. 3
A plane-wave DFT calculation with PBE-GGA was carried out for crystalline Dy2TlCd3 at its relaxed geometry.

Values from the calculation:
- N(E_F) (states/eV per cell) = 8.92
- energy relative to the elements (eV/atom) = -0.294
- total moment (μB/f.u.) = 0.000

```
Dy2TlCd3
1.0
6.022 -0.950 0.000
-1.183 5.980 0.000
-2.419 -2.515 8.616
Dy Tl Cd
4 2 6
Direct
0.250 0.750 0.500
0.750 0.750 0.000
0.750 0.250 0.500
0.250 0.250 0.000
0.667 0.667 0.334
0.333 0.333 0.666
0.329 0.835 0.164
0.165 0.671 0.836
0.671 0.165 0.836
0.835 0.329 0.164
0.164 0.164 0.328
0.836 0.836 0.672
```



No. 4
A plane-wave DFT calculation with PBE-GGA was carried out for crystalline Dy7Tl3Cd at its relaxed geometry.

Values from the calculation:
- N(E_F) (states/eV per cell) = 11.56
- energy relative to the elements (eV/atom) = -0.066
- total moment (μB/f.u.) = 0.002

```
Dy7Tl3Cd
1.0
5.810 -0.022 -0.029
-2.813 7.548 0.319
-2.813 -1.521 7.400
Dy Tl Cd
7 3 1
Direct
0.184 0.185 0.185
0.321 0.047 0.600
0.679 0.400 0.953
0.321 0.600 0.047
0.000 0.500 0.500
0.679 0.953 0.400
0.816 0.815 0.815
0.000 0.769 0.231
0.500 0.000 0.000
0.000 0.231 0.769
0.500 0.500 0.500
```



No. 5
A plane-wave DFT calculation with PBE-GGA was carried out for crystalline Dy3TlCd4 at its relaxed geometry.

Values from the calculation:
- N(E_F) (states/eV per cell) = 11.52
- energy relative to the elements (eV/atom) = -0.252
- total moment (μB/f.u.) = 0.445

```
Dy3TlCd4
1.0
4.991 0.000 0.000
0.000 8.189 0.000
0.000 0.000 9.983
Tl Cd Dy
2 8 6
Direct
0.000 0.500 0.000
0.000 0.500 0.500
0.500 0.750 0.000
0.500 0.750 0.500
0.500 0.250 0.000
0.500 0.250 0.500
0.001 0.750 0.750
0.999 0.750 0.250
0.999 0.250 0.250
0.001 0.250 0.750
0.000 0.000 0.000
0.000 0.000 0.500
0.500 0.000 0.750
0.500 0.000 0.250
0.500 0.500 0.750
0.500 0.500 0.250
```



No. 6
A plane-wave DFT calculation with PBE-GGA was carried out for crystalline Dy2Tl2Cd3 at its relaxed geometry.

Values from the calculation:
- N(E_F) (states/eV per cell) = 4.67
- energy relative to the elements (eV/atom) = -0.140
- total moment (μB/f.u.) = 0.000

```
Dy2Tl2Cd3
1.0
-2.007 -1.770 2.186
3.769 -1.153 2.527
-3.238 9.812 4.971
Dy Tl Cd
2 2 3
Direct
0.000 0.852 0.703
0.000 0.148 0.297
0.500 0.708 0.416
0.500 0.292 0.584
0.500 0.567 0.133
0.500 0.433 0.867
0.000 0.000 0.000
```



No. 7
A plane-wave DFT calculation with PBE-GGA was carried out for crystalline Dy4Tl2Cd at its relaxed geometry.

Values from the calculation:
- N(E_F) (states/eV per cell) = 6.71
- energy relative to the elements (eV/atom) = -0.213
- total moment (μB/f.u.) = 0.001

```
Dy4Tl2Cd
1.0
5.022 0.000 1.569
2.266 4.482 1.569
-0.070 -0.043 9.045
Tl Cd Dy
2 1 4
Direct
0.750 0.750 0.751
0.250 0.250 0.249
0.000 0.000 0.000
0.872 0.872 0.384
0.128 0.128 0.616
0.620 0.620 0.139
0.380 0.380 0.861
```



No. 8
A plane-wave DFT calculation with PBE-GGA was carried out for crystalline Dy2Tl3Cd at its relaxed geometry.

Values from the calculation:
- N(E_F) (states/eV per cell) = 8.06
- energy relative to the elements (eV/atom) = -0.194
- total moment (μB/f.u.) = 0.000

```
Dy2Tl3Cd
1.0
-0.873 -0.135 -6.116
2.105 -5.443 2.033
-8.969 0.027 3.296
Dy Tl Cd
4 6 2
Direct
0.250 0.750 0.500
0.751 0.751 0.000
0.750 0.250 0.500
0.249 0.249 0.000
0.340 0.830 0.170
0.170 0.660 0.830
0.660 0.170 0.830
0.830 0.340 0.170
0.170 0.170 0.340
0.830 0.830 0.660
0.667 0.667 0.334
0.333 0.333 0.666
```